This record from Alexandria describes a relaxed structure of InTeI2N. The functional is PBE.

Computed properties:
Space-group type ... No. 123
ΔE_f (raw) ... 76.1 kJ per mole of atoms
Crystal system ... tetragonal
Energy above the lowest structure with this stoichiometry ... 0.383 eV per atom
Spin magnetization ... 0.000 μB per cell
Volume ... 30.1 Å³/atom

a = 6.175 Å, b = 6.175 Å, c = 3.950 Å
α = 90.00°, β = 90.00°, γ = 90.00°
Element x y z (fractional)
I 0.000 0.500 0.000
I 0.500 0.000 0.000
N 0.000 0.000 0.500
Te 0.500 0.500 0.500
In 0.000 0.000 0.000